The following is a PBE calculation of crystalline SrZrSb2Pd2 at its relaxed geometry, from the Alexandria database.

## Properties
E_form (uncorrected): -0.841 eV/atom
Uncorrected energy: -5.651 eV/atom
Crystal system: trigonal

CIF file:
```
data_SrZrSb2Pd2
_chemical_formula_sum 'Sr1 Zr1 Sb2 Pd2'
_cell_length_a 4.5991
_cell_length_b 4.5991
_cell_length_c 7.8223
_cell_angle_alpha 90.00
_cell_angle_beta 90.00
_cell_angle_gamma 120.00
_symmetry_space_group_name_H-M 'P -3 m 1'
_symmetry_Int_Tables_number 164
_symmetry_space_group_name_Hall '-P 3 2"'
loop_
_atom_site_label
_atom_site_type_symbol
_atom_site_fract_x
_atom_site_fract_y
_atom_site_fract_z
Sr1 Sr 0.0000 0.0000 0.0000
Zr1 Zr 0.0000 0.0000 0.5000
Sb1 Sb 0.3333 0.6667 0.7298
Pd1 Pd 0.3333 0.6667 0.3454
```

***

The following is a PBE calculation of crystalline TaSb2Pd at its relaxed geometry, from the Alexandria database.

## Properties
E_form (uncorrected): 0.092 eV/atom
Uncorrected energy: -6.230 eV/atom
Crystal system: trigonal

CIF file:
```
data_TaSb2Pd
_chemical_formula_sum 'Ta3 Sb6 Pd3'
_cell_length_a 3.2967
_cell_length_b 3.2967
_cell_length_c 28.2929
_cell_angle_alpha 90.00
_cell_angle_beta 90.00
_cell_angle_gamma 120.00
_symmetry_space_group_name_H-M 'R -3 m'
_symmetry_Int_Tables_number 166
_symmetry_space_group_name_Hall '-R 3 2"'
loop_
_atom_site_label
_atom_site_type_symbol
_atom_site_fract_x
_atom_site_fract_y
_atom_site_fract_z
Ta1 Ta 0.0000 0.0000 0.0000
Sb1 Sb 0.0000 0.0000 0.4088
Pd1 Pd 0.0000 0.0000 0.5000
```

***

The following is a PBE calculation of crystalline TaSbPd3 at its relaxed geometry, from the Alexandria database.

## Properties
E_form (uncorrected): 0.760 eV/atom
Offset from the most stable computed form: 0 meV/atom
Uncorrected energy: -5.551 eV/atom
Crystal system: cubic

CIF file:
```
data_TaSbPd3
_chemical_formula_sum 'Ta1 Sb1 Pd3'
_cell_length_a 4.875
_cell_length_b 4.875
_cell_length_c 4.875
_cell_angle_alpha 90.00
_cell_angle_beta 90.00
_cell_angle_gamma 90.00
_symmetry_space_group_name_H-M 'P m -3 m'
_symmetry_Int_Tables_number 221
_symmetry_space_group_name_Hall '-P 4 2 3'
loop_
_atom_site_label
_atom_site_type_symbol
_atom_site_fract_x
_atom_site_fract_y
_atom_site_fract_z
Ta1 Ta 0.000 0.000 0.000
Sb1 Sb 0.500 0.500 0.500
Pd1 Pd 0.000 0.000 0.500
```